Record 1
Ti7Sn3H2: relaxed, PBE.

Lattice parameters (Å, degrees): 4.1678 21.8451 4.0289 90.00 90.00 90.00
Space group Cmmm (No. 65)
Symmetry-distinct sites (fractional):
Ti  0.0000  0.0000  0.0000
Ti  0.0000  0.0974  0.5000
Ti  0.0000  0.2020  0.0000
Ti  0.0000  0.4027  0.0000
Sn  0.0000  0.3080  0.5000
Sn  0.0000  0.5000  0.5000
H  0.0000  0.0955  0.0000

Computed properties:
Volume = 15.3 Å³/atom
Excess energy over the best structure of this formula in the dataset = 0 meV per atom
Final energy = -6.56 eV/atom


Record 2
Ti7Sn3H2: relaxed, PBE.

Lattice parameters (Å, degrees): 3.9879 3.9879 23.7648 90.00 90.00 90.00
Space group I4/mmm (No. 139)
Symmetry-distinct sites (fractional):
Ti  0.0000  0.0000  0.0000
Ti  0.0000  0.0000  0.2005
Ti  0.0000  0.5000  0.0931
Sn  0.0000  0.0000  0.3184
Sn  0.0000  0.0000  0.5000
H  0.0000  0.0000  0.0826

Computed properties:
Volume = 15.7 Å³/atom
Excess energy over the best structure of this formula in the dataset = 12 meV per atom
Final energy = -6.55 eV/atom


Record 3
TiSnH2: relaxed, PBE.

Lattice parameters (Å, degrees): 4.0700 4.0700 11.6963 90.00 90.00 90.00
Space group I-42d (No. 122)
Symmetry-distinct sites (fractional):
Ti  0.0000  0.0000  0.0000
Sn  0.0000  0.0000  0.5000
H  0.0652  0.2500  0.1250

Computed properties:
Volume = 12.1 Å³/atom
Excess energy over the best structure of this formula in the dataset = 69 meV per atom
Final energy = -4.71 eV/atom


Record 4
Ti6Sn2H: relaxed, PBE.

Lattice parameters (Å, degrees): 3.1496 12.8988 7.4418 90.00 90.00 90.00
Space group Amm2 (No. 38)
Symmetry-distinct sites (fractional):
Ti  0.0000  0.0000  0.0000
Ti  0.0000  0.1089  0.6721
Ti  0.5000  0.0000  0.4028
Ti  0.5000  0.1884  0.9698
Sn  0.0000  0.1669  0.2814
H  0.5000  0.0000  0.7848

Computed properties:
Volume = 16.8 Å³/atom
Excess energy over the best structure of this formula in the dataset = 207 meV per atom
Final energy = -6.66 eV/atom


Record 5
Ti7SnH5: relaxed, PBE.

Lattice parameters (Å, degrees): 4.5267 8.0230 8.6443 90.00 90.00 90.00
Space group Imm2 (No. 44)
Symmetry-distinct sites (fractional):
Ti  0.0000  0.0000  0.0000
Ti  0.0000  0.0000  0.3124
Ti  0.0000  0.3277  0.9892
Ti  0.0000  0.3381  0.6504
Ti  0.0000  0.5000  0.3362
Sn  0.0000  0.0000  0.6399
H  0.0000  0.5000  0.8239
H  0.2325  0.2190  0.3220

Computed properties:
Volume = 12.1 Å³/atom
Final energy = -5.97 eV/atom


Record 6
Ti3Sn2H: relaxed, PBE.

Lattice parameters (Å, degrees): 9.8651 7.5554 5.5167 90.00 90.00 90.00
Space group Cmcm (No. 63)
Symmetry-distinct sites (fractional):
Ti  0.0000  0.1717  0.2500
Ti  0.1391  0.5000  0.0000
Sn  0.1478  0.1690  0.7500
H  0.0000  0.4288  0.2500

Computed properties:
Volume = 17.1 Å³/atom
Final energy = -5.99 eV/atom